[1]
Density functional theory data (PBE) for a geometry-optimized MnZnNi5 structure.

a b c (Å): 8.269 5.202 8.443
angles (deg): 90.00 106.41 90.00
Space group C2/c (No. 15)
Unique sites:
Mn  0.000  0.099  0.250 x4
Zn  0.250  0.250  0.000 x4
Ni  0.000  0.363  0.750 x4
Ni  0.105  0.340  0.500 x8
Ni  0.243  0.395  0.269 x8

Values from the calculation:
total magnetization = 22.37 Bohr magnetons per cell
ΔE to the lowest computed polymorph = 0.16 eV per formula unit
DFT formation energy = 0.09 eV/atom
Fermi-level density of states = 1.17 states/eV/atom

[2]
Density functional theory data (PBE) for a geometry-optimized MnZn5Ni6 structure.

a b c (Å): 3.826 11.498 6.608
angles (deg): 90.00 90.00 90.00
Space group Cmmm (No. 65)
Unique sites:
Mn  0.000  0.000  0.000 x2
Zn  0.000  0.000  0.500 x2
Zn  0.000  0.334  0.000 x4
Zn  0.000  0.334  0.500 x4
Ni  0.000  0.166  0.250 x8
Ni  0.000  0.500  0.249 x4

Values from the calculation:
total magnetization = 8.19 Bohr magnetons per cell
DFT formation energy = -0.22 eV/atom
Fermi-level density of states = 0.30 states/eV/atom

[3]
Density functional theory data (PBE) for a geometry-optimized MnZnNi3 structure.

a b c (Å): 4.299 4.299 4.299
angles (deg): 90.00 90.00 90.00
Space group Pm-3m (No. 221)
Unique sites:
Mn  0.000  0.000  0.000 x1
Zn  0.500  0.500  0.500 x1
Ni  0.000  0.500  0.500 x3

Values from the calculation:
total magnetization = 5.02 Bohr magnetons per cell
ΔE to the lowest computed polymorph = 4.70 eV per formula unit
DFT formation energy = 0.86 eV/atom
Fermi-level density of states = 0.19 states/eV/atom

[4]
Density functional theory data (PBE) for a geometry-optimized MnZnNi2 structure.

a b c (Å): 2.794 3.177 5.484
angles (deg): 90.00 90.18 90.00
Space group P2/m (No. 10)
Unique sites:
Mn  0.000  0.000  0.000 x1
Zn  0.000  0.000  0.500 x1
Ni  0.500  0.500  0.248 x2

Values from the calculation:
total magnetization = 4.28 Bohr magnetons per cell
DFT formation energy = -0.15 eV/atom
Fermi-level density of states = 0.40 states/eV/atom

[5]
Density functional theory data (PBE) for a geometry-optimized MnZn4Ni structure.

a b c (Å): 8.789 4.307 5.287
angles (deg): 90.00 125.07 90.00
Space group C2/m (No. 12)
Unique sites:
Mn  0.000  0.000  0.000 x2
Zn  0.161  0.500  0.467 x4
Zn  0.175  0.500  0.981 x4
Ni  0.000  0.000  0.500 x2

Values from the calculation:
total magnetization = 7.68 Bohr magnetons per cell
ΔE to the lowest computed polymorph = 0.00 eV per formula unit
DFT formation energy = -0.02 eV/atom
Fermi-level density of states = 0.59 states/eV/atom

[6]
Density functional theory data (PBE) for a geometry-optimized MnZn2Ni structure.

a b c (Å): 8.739 2.694 4.532
angles (deg): 90.00 101.40 90.00
Space group Cm (No. 8)
Unique sites:
Mn  0.000  0.000  0.000 x2
Zn  0.245  0.000  0.738 x2
Zn  0.487  0.000  0.484 x2
Ni  0.245  0.500  0.228 x2

Values from the calculation:
total magnetization = 7.17 Bohr magnetons per cell
DFT formation energy = -0.04 eV/atom
Fermi-level density of states = 0.61 states/eV/atom

[7]
Density functional theory data (PBE) for a geometry-optimized Mn2ZnNi structure.

a b c (Å): 2.5344 2.5344 24.9684
angles (deg): 90.00 90.00 120.00
Space group R3m (No. 160, hexagonal axes)
Unique sites:
Mn  0.0000  0.0000  0.0000 x3
Mn  0.0000  0.0000  0.2567 x3
Zn  0.0000  0.0000  0.7566 x3
Ni  0.0000  0.0000  0.5082 x3

Values from the calculation:
total magnetization = 1.02 Bohr magnetons per cell
DFT formation energy = 0.03 eV/atom
Fermi-level density of states = 0.71 states/eV/atom

[8]
Density functional theory data (PBE) for a geometry-optimized Mn2ZnNi8 structure.

a b c (Å): 3.562 7.368 10.214
angles (deg): 90.00 90.00 90.00
Space group Immm (No. 71)
Unique sites:
Mn  0.000  0.000  0.145 x4
Zn  0.000  0.000  0.500 x2
Ni  0.000  0.245  0.333 x8
Ni  0.000  0.266  0.000 x4
Ni  0.000  0.500  0.180 x4

Values from the calculation:
total magnetization = 22.28 Bohr magnetons per cell
DFT formation energy = 0.05 eV/atom
Fermi-level density of states = 1.28 states/eV/atom

[9]
Density functional theory data (PBE) for a geometry-optimized MnZn2Ni structure.

a b c (Å): 2.743 3.475 5.441
angles (deg): 90.00 90.11 90.00
Space group P2/m (No. 10)
Unique sites:
Mn  0.000  0.000  0.000 x1
Zn  0.500  0.500  0.262 x2
Ni  0.000  0.000  0.500 x1

Values from the calculation:
total magnetization = 3.32 Bohr magnetons per cell
DFT formation energy = -0.08 eV/atom
Fermi-level density of states = 0.47 states/eV/atom

[10]
Density functional theory data (PBE) for a geometry-optimized MnZnNi2 structure.

a b c (Å): 2.658 3.586 5.141
angles (deg): 90.00 90.12 90.00
Space group Pm (No. 6)
Unique sites:
Mn  0.000  0.000  0.000 x1
Zn  0.500  0.500  0.282 x1
Ni  0.001  0.000  0.511 x1
Ni  0.500  0.500  0.772 x1

Values from the calculation:
total magnetization = 4.35 Bohr magnetons per cell
DFT formation energy = -0.07 eV/atom
Fermi-level density of states = 0.58 states/eV/atom

[11]
Density functional theory data (PBE) for a geometry-optimized Mn2ZnNi structure.

a b c (Å): 2.475 3.901 4.813
angles (deg): 90.00 90.00 90.00
Space group Pmmm (No. 47)
Unique sites:
Mn  0.000  0.000  0.219 x2
Zn  0.500  0.500  0.500 x1
Ni  0.500  0.500  0.000 x1

Values from the calculation:
total magnetization = 0.47 Bohr magnetons per cell
DFT formation energy = 0.18 eV/atom
Fermi-level density of states = 1.20 states/eV/atom

[12]
Density functional theory data (PBE) for a geometry-optimized MnZnNi2 structure.

a b c (Å): 5.803 5.803 5.803
angles (deg): 90.00 90.00 90.00
Space group F-43m (No. 216)
Unique sites:
Mn  0.000  0.000  0.000 x4
Zn  0.250  0.250  0.250 x4
Ni  0.000  0.000  0.500 x4
Ni  0.250  0.250  0.750 x4

Values from the calculation:
total magnetization = 16.22 Bohr magnetons per cell
DFT formation energy = -0.04 eV/atom
Fermi-level density of states = 0.83 states/eV/atom